--- w ---
Material: ScAgNO
Method: DFT, PBE
State: optimized geometry

Values from the calculation:
The total moment comes out at 0.251 μB/atom.

```
ScAgNO
1.0
-0.376 3.730 -0.035
-3.654 -0.361 0.758
1.458 0.214 7.128
Ag N O Sc
2 2 2 2
direct
0.000 0.000 0.500
0.500 0.500 0.500
0.500 0.000 0.304
0.000 0.500 0.696
0.000 0.000 0.000
0.500 0.500 0.000
0.000 0.500 0.129
0.500 0.000 0.871
```

--- x ---
Material: ScAgNO
Method: DFT, PBE
State: optimized geometry

Values from the calculation:
The total moment comes out at 0.000 μB/atom.

```
ScAgNO
1.0
3.266 -3.266 0.000
3.266 3.266 0.000
0.000 0.000 4.400
Ag N O Sc
2 2 2 2
direct
0.250 0.250 0.002
0.750 0.750 0.998
0.750 0.750 0.498
0.250 0.250 0.502
0.750 0.250 0.000
0.250 0.750 0.000
0.750 0.250 0.500
0.250 0.750 0.500
```

--- y ---
Material: ScAgNO
Method: DFT, PBE
State: optimized geometry

Values from the calculation:
The total moment comes out at 0.000 μB/atom.

```
ScAgNO
1.0
-1.695 -2.936 0.000
0.000 0.000 5.784
-5.251 3.032 0.000
Ag N O Sc
2 2 2 2
direct
0.500 0.996 0.225
0.500 0.496 0.775
0.000 0.853 0.381
0.000 0.353 0.619
0.500 0.405 0.157
0.500 0.905 0.843
0.000 0.500 0.305
0.000 0.000 0.695
```

--- z ---
Material: ScAgNO
Method: DFT, PBE
State: optimized geometry

Values from the calculation:
The total moment comes out at 0.000 μB/atom.

```
ScAgNO
1.0
4.493 0.000 0.000
0.000 5.553 0.000
0.000 0.000 8.344
Ag N O Sc
4 4 4 4
direct
0.051 0.004 0.368
0.551 0.496 0.368
0.051 0.504 0.632
0.551 0.996 0.632
0.550 0.563 0.114
0.050 0.937 0.114
0.550 0.063 0.886
0.050 0.437 0.886
0.551 0.016 0.370
0.051 0.484 0.370
0.551 0.516 0.630
0.051 0.984 0.630
0.050 0.553 0.130
0.550 0.947 0.130
0.050 0.053 0.870
0.550 0.447 0.870
```

Computed stability ranking, most favorable first: x, y, z, w